Record 1
TbPaHg2 | PBE | relaxed

Properties
Energy, eV for the cell shown: -14.9
Energy of formation from the pure elements, eV per formula unit: -0.2
Energy above the most stable polymorph in this dataset, eV per atom: 0.104

Structure (CIF):
```
data_TbPaHg2
_cell_length_a 4.747
_cell_length_b 4.747
_cell_length_c 4.481
_cell_angle_alpha 90.00
_cell_angle_beta 90.00
_cell_angle_gamma 90.00
_space_group_name_H-M_alt 'P 1'
_space_group_IT_number 1
loop_
_space_group_symop_operation_xyz
'x,y,z'
loop_
_atom_site_label
_atom_site_type_symbol
_atom_site_fract_x
_atom_site_fract_y
_atom_site_fract_z
Tb1 Tb 0.000 0.000 0.000
Pa1 Pa 0.500 0.500 0.000
Hg1 Hg 0.000 0.500 0.500
Hg2 Hg 0.500 0.000 0.500
```


Record 2
TbPaHg2 | PBE | relaxed

Properties
Energy, eV for the cell shown: -15.0
Energy of formation from the pure elements, eV per formula unit: -0.2
Energy above the most stable polymorph in this dataset, eV per atom: 0.096

Structure (CIF):
```
data_TbPaHg2
_cell_length_a 10.684
_cell_length_b 10.684
_cell_length_c 10.684
_cell_angle_alpha 18.09
_cell_angle_beta 18.09
_cell_angle_gamma 18.09
_space_group_name_H-M_alt 'P 1'
_space_group_IT_number 1
loop_
_space_group_symop_operation_xyz
'x,y,z'
loop_
_atom_site_label
_atom_site_type_symbol
_atom_site_fract_x
_atom_site_fract_y
_atom_site_fract_z
Tb1 Tb 0.000 0.000 0.000
Pa1 Pa 0.500 0.500 0.500
Hg1 Hg 0.252 0.252 0.252
Hg2 Hg 0.748 0.748 0.748
```